Record 1
{"formula": "ScCrFe", "functional": "SCAN", "state": "PBEsol geometry", "delta_e_f_ev_per_atom": 0.66, "mass_density_g_cm3": 5.6, "spacegroup": "F-43m", "volume_a3_per_cell": 45, "dft_energy_ev_per_atom": -16.258, "cell": [[0.0000, 2.8303, 2.8303], [2.8303, 0.0000, 2.8303], [2.8303, 2.8303, 0.0000]], "species": ["Sc", "Cr", "Fe"], "frac_coords": [[0.0000, 0.0000, 0.0000], [0.5000, 0.5000, 0.5000], [0.7500, 0.7500, 0.7500]]}

***

Record 2
{"formula": "TlAgTe2", "functional": "SCAN", "state": "PBEsol geometry", "formation_energy_uncorrected_ev_per_atom": 0.06, "mass_density_g_cm3": 9.0, "spacegroup": "P4/mmm", "volume_a3_per_cell": 105, "dft_energy_ev_per_atom": -44.498, "cell": [[3.3449, 0.0000, 0.0000], [0.0000, 3.3449, 0.0000], [0.0000, 0.0000, 9.4094]], "species": ["Tl", "Ag", "Te", "Te"], "frac_coords": [[0.0000, 0.0000, 0.0000], [0.0000, 0.0000, 0.5000], [0.5000, 0.5000, 0.2864], [0.5000, 0.5000, 0.7136]]}

***

Record 3
{"formula": "KTi2HSe", "functional": "SCAN", "state": "PBEsol geometry", "mass_density_g_cm3": 4.0, "spacegroup": "P4/mmm", "volume_a3_per_cell": 90, "dft_energy_ev_per_atom": -11.460, "cell": [[4.8560, 0.0000, 0.0000], [0.0000, 4.8560, 0.0000], [0.0000, 0.0000, 3.8004]], "species": ["K", "Ti", "Ti", "H", "Se"], "frac_coords": [[0.0000, 0.0000, 0.0000], [0.0000, 0.5000, 0.0000], [0.5000, 0.0000, 0.0000], [0.0000, 0.0000, 0.5000], [0.5000, 0.5000, 0.5000]]}

***

Record 4
{"formula": "YMgZr", "functional": "SCAN", "state": "PBEsol geometry", "delta_e_f_ev_per_atom": 0.01, "mass_density_g_cm3": 4.5, "spacegroup": "I4mm", "volume_a3_per_cell": 75, "dft_energy_ev_per_atom": -21.158, "cell": [[-1.6639, 1.6639, 6.7423], [1.6639, -1.6639, 6.7423], [1.6639, 1.6639, -6.7423]], "species": ["Y", "Mg", "Zr"], "frac_coords": [[0.0000, 0.0000, 0.0000], [0.3203, 0.3203, 0.0000], [0.6649, 0.6649, 0.0000]]}

***

Record 5
{"formula": "CaTa2Co", "functional": "SCAN", "state": "PBEsol geometry", "delta_e_f_ev_per_atom": 0.89, "mass_density_g_cm3": 11.0, "spacegroup": "Cmmm", "volume_a3_per_cell": 70, "dft_energy_ev_per_atom": -39.142, "cell": [[2.6419, -4.7843, 0.0000], [2.6419, 4.7843, 0.0000], [0.0000, 0.0000, 2.7621]], "species": ["Ca", "Ta", "Ta", "Co"], "frac_coords": [[0.0000, 0.0000, 0.0000], [0.0000, 0.5000, 0.5000], [0.5000, 0.0000, 0.5000], [0.5000, 0.5000, 0.0000]]}

***

Record 6
{"formula": "CaMg2Tl", "functional": "SCAN", "state": "PBEsol geometry", "delta_e_f_ev_per_atom": -0.24, "mass_density_g_cm3": 4.7, "spacegroup": "Pm", "volume_a3_per_cell": 103, "dft_energy_ev_per_atom": -23.232, "cell": [[3.4620, 0.0000, 0.0000], [0.0000, 4.8673, 0.0000], [-1.7029, 0.0000, 6.1331]], "species": ["Ca", "Mg", "Mg", "Tl"], "frac_coords": [[0.0000, 0.0000, 0.0000], [0.2651, 0.0000, 0.5241], [0.6699, 0.5000, 0.3369], [0.4002, 0.5000, 0.7968]]}

***

Record 7
{"formula": "MnTcOs2", "functional": "SCAN", "state": "PBEsol geometry", "delta_e_f_ev_per_atom": 0.35, "mass_density_g_cm3": 16.2, "spacegroup": "Cmm2", "volume_a3_per_cell": 55, "dft_energy_ev_per_atom": -48.915, "cell": [[1.3964, -2.2397, 0.0000], [1.3964, 2.2397, 0.0000], [0.0000, 0.0000, 8.7491]], "species": ["Mn", "Tc", "Os", "Os"], "frac_coords": [[0.0000, 0.0000, 0.0000], [0.5000, 0.5000, 0.2374], [0.0000, 0.0000, 0.4946], [0.5000, 0.5000, 0.7611]]}

***

Record 8
{"formula": "LiMoBr", "functional": "SCAN", "state": "PBEsol geometry", "formation_energy_uncorrected_ev_per_atom": 0.49, "mass_density_g_cm3": 5.8, "spacegroup": "Fmm2", "volume_a3_per_cell": 52, "dft_energy_ev_per_atom": -18.424, "cell": [[0.0000, 2.5316, 6.5124], [1.5878, 0.0000, 6.5124], [1.5878, 2.5316, 0.0000]], "species": ["Li", "Mo", "Br"], "frac_coords": [[0.0000, 0.0000, 0.0000], [0.3246, 0.3246, 0.6754], [0.6660, 0.6660, 0.3340]]}

***

Record 9
{"formula": "ScNb3In", "functional": "SCAN", "state": "PBEsol geometry", "delta_e_f_ev_per_atom": 1.55, "mass_density_g_cm3": 5.8, "spacegroup": "Pm-3m", "volume_a3_per_cell": 125, "dft_energy_ev_per_atom": -27.857, "cell": [[4.9989, 0.0000, 0.0000], [0.0000, 4.9989, 0.0000], [0.0000, 0.0000, 4.9989]], "species": ["Sc", "Nb", "Nb", "Nb", "In"], "frac_coords": [[0.0000, 0.0000, 0.0000], [0.0000, 0.5000, 0.5000], [0.5000, 0.0000, 0.5000], [0.5000, 0.5000, 0.0000], [0.5000, 0.5000, 0.5000]]}

***

Record 10
{"formula": "SnN", "functional": "SCAN", "state": "PBEsol geometry", "formation_energy_uncorrected_ev_per_atom": 0.16, "mass_density_g_cm3": 4.3, "spacegroup": "P-1", "volume_a3_per_cell": 102, "dft_energy_ev_per_atom": -22.443, "cell": [[3.2022, 0.0000, 0.0000], [-0.6471, 3.1378, 0.0000], [-1.2343, -1.3689, 10.1421]], "species": ["Sn", "Sn", "N", "N"], "frac_coords": [[0.1912, 0.2027, 0.3835], [0.8088, 0.7973, 0.6165], [0.4679, 0.4614, 0.9453], [0.5321, 0.5386, 0.0547]]}

***

Record 11
{"formula": "BaCa2P6N12", "functional": "SCAN", "state": "PBEsol geometry", "formation_energy_uncorrected_ev_per_atom": -1.14, "mass_density_g_cm3": 3.9, "spacegroup": "Pa-3", "volume_a3_per_cell": 975, "dft_energy_ev_per_atom": -12.229, "cell": [[9.9166, 0.0000, 0.0000], [0.0000, 9.9166, 0.0000], [0.0000, 0.0000, 9.9166]], "species": ["Ba", "Ba", "Ba", "Ba", "Ca", "Ca", "Ca", "Ca", "Ca", "Ca", "Ca", "Ca", "P", "P", "P", "P", "P", "P", "P", "P", "P", "P", "P", "P", "P", "P", "P", "P", "P", "P", "P", "P", "P", "P", "P", "P", "N", "N", "N", "N", "N", "N", "N", "N", "N", "N", "N", "N", "N", "N", "N", "N", "N", "N", "N", "N", "N", "N", "N", "N", "N", "N", "N", "N", "N", "N", "N", "N", "N", "N", "N", "N", "N", "N", "N", "N", "N", "N", "N", "N", "N", "N", "N", "N"], "frac_coords": [[0.0000, 0.0000, 0.0000], [0.0000, 0.5000, 0.5000], [0.5000, 0.0000, 0.5000], [0.5000, 0.5000, 0.0000], [0.1246, 0.6246, 0.8754], [0.1246, 0.8754, 0.3754], [0.3754, 0.1246, 0.8754], [0.3754, 0.3754, 0.3754], [0.6246, 0.6246, 0.6246], [0.6246, 0.8754, 0.1246], [0.8754, 0.1246, 0.6246], [0.8754, 0.3754, 0.1246], [0.1209, 0.1912, 0.3486], [0.1209, 0.3088, 0.8486], [0.1514, 0.6209, 0.1912], [0.1514, 0.8791, 0.6912], [0.1912, 0.1514, 0.6209], [0.1912, 0.3486, 0.1209], [0.3088, 0.6514, 0.6209], [0.3088, 0.8486, 0.1209], [0.3486, 0.1209, 0.1912], [0.3486, 0.3791, 0.6912], [0.3791, 0.6912, 0.3486], [0.3791, 0.8088, 0.8486], [0.6209, 0.1912, 0.1514], [0.6209, 0.3088, 0.6514], [0.6514, 0.6209, 0.3088], [0.6514, 0.8791, 0.8088], [0.6912, 0.1514, 0.8791], [0.6912, 0.3486, 0.3791], [0.8088, 0.6514, 0.8791], [0.8088, 0.8486, 0.3791], [0.8486, 0.1209, 0.3088], [0.8486, 0.3791, 0.8088], [0.8791, 0.6912, 0.1514], [0.8791, 0.8088, 0.6514], [0.0096, 0.0882, 0.2844], [0.0096, 0.4118, 0.7844], [0.0882, 0.2156, 0.5096], [0.0882, 0.2844, 0.0096], [0.1229, 0.1626, 0.7718], [0.1229, 0.3374, 0.2718], [0.1626, 0.7282, 0.6229], [0.1626, 0.7718, 0.1229], [0.2156, 0.5096, 0.0882], [0.2156, 0.9904, 0.5882], [0.2282, 0.6229, 0.3374], [0.2282, 0.8771, 0.8374], [0.2718, 0.1229, 0.3374], [0.2718, 0.3771, 0.8374], [0.2844, 0.0096, 0.0882], [0.2844, 0.4904, 0.5882], [0.3374, 0.2282, 0.6229], [0.3374, 0.2718, 0.1229], [0.3771, 0.6626, 0.7718], [0.3771, 0.8374, 0.2718], [0.4118, 0.7156, 0.5096], [0.4118, 0.7844, 0.0096], [0.4904, 0.5882, 0.2844], [0.4904, 0.9118, 0.7844], [0.5096, 0.0882, 0.2156], [0.5096, 0.4118, 0.7156], [0.5882, 0.2156, 0.9904], [0.5882, 0.2844, 0.4904], [0.6229, 0.1626, 0.7282], [0.6229, 0.3374, 0.2282], [0.6626, 0.7282, 0.8771], [0.6626, 0.7718, 0.3771], [0.7156, 0.5096, 0.4118], [0.7156, 0.9904, 0.9118], [0.7282, 0.6229, 0.1626], [0.7282, 0.8771, 0.6626], [0.7718, 0.1229, 0.1626], [0.7718, 0.3771, 0.6626], [0.7844, 0.0096, 0.4118], [0.7844, 0.4904, 0.9118], [0.8374, 0.2282, 0.8771], [0.8374, 0.2718, 0.3771], [0.8771, 0.6626, 0.7282], [0.8771, 0.8374, 0.2282], [0.9118, 0.7156, 0.9904], [0.9118, 0.7844, 0.4904], [0.9904, 0.5882, 0.2156], [0.9904, 0.9118, 0.7156]]}

***

Record 12
{"formula": "MoIrCl2", "functional": "SCAN", "state": "PBEsol geometry", "formation_energy_uncorrected_ev_per_atom": 0.64, "mass_density_g_cm3": 9.7, "spacegroup": "Pmmm", "volume_a3_per_cell": 62, "dft_energy_ev_per_atom": -29.840, "cell": [[2.8225, 0.0000, 0.0000], [0.0000, 4.1966, 0.0000], [0.0000, 0.0000, 5.2153]], "species": ["Mo", "Ir", "Cl", "Cl"], "frac_coords": [[0.0000, 0.0000, 0.0000], [0.5000, 0.0000, 0.5000], [0.0000, 0.5000, 0.5000], [0.5000, 0.5000, 0.0000]]}

***

> Number 4 is which compound?

YMgZr